(1)
A plane-wave DFT calculation with PBE was carried out for crystalline Pr4Eu2N at its relaxed geometry.

Cell and atoms, written as POSCAR:
```
Pr4Eu2N
1.0
-5.054 -0.134 -0.842
-0.818 -0.682 5.014
-3.372 8.708 3.254
Pr Eu N
4 2 1
direct
0.131 0.131 0.737 Pr
0.500 0.000 0.000 Pr
0.869 0.869 0.263 Pr
0.000 0.500 0.000 Pr
0.669 0.669 0.662 Eu
0.331 0.331 0.338 Eu
0.000 0.000 0.000 N
```

- Formation energy from raw total energies: -0.20 eV per atom
- SG: I4/mmm, No. 139
- Size of the total moment: 15.4 μB per cell
- E_tot: -7.06 eV/atom



(2)
A plane-wave DFT calculation with PBE was carried out for crystalline PrEuN at its relaxed geometry.

Cell and atoms, written as POSCAR:
```
PrEuN
1.0
-0.122 -0.265 3.267
3.275 0.101 0.130
-1.795 6.521 -1.184
Eu Pr N
1 1 1
direct
0.953 0.953 0.907 Eu
0.728 0.728 0.457 Pr
0.318 0.318 0.636 N
```

- Formation energy from raw total energies: -0.33 eV per atom
- ΔE to the lowest computed polymorph: 0.000 eV per atom
- SG: I4mm, No. 107
- Size of the total moment: 7.2 μB per cell
- E_tot: -8.13 eV/atom



(3)
A plane-wave DFT calculation with PBE was carried out for crystalline PrEuN at its relaxed geometry.

Cell and atoms, written as POSCAR:
```
PrEuN
1.0
-0.712 -3.488 2.664
0.587 -4.129 -1.540
3.429 -2.440 1.433
Pr N Eu
1 1 1
direct
0.500 0.500 0.500 Pr
0.250 0.250 0.250 N
0.000 0.000 0.000 Eu
```

- Formation energy from raw total energies: -0.27 eV per atom
- ΔE to the lowest computed polymorph: 0.066 eV per atom
- SG: F-43m, No. 216
- Size of the total moment: 7.4 μB per cell
- E_tot: -8.06 eV/atom



(4)
A plane-wave DFT calculation with PBE was carried out for crystalline Eu3PtN at its relaxed geometry.

Cell and atoms, written as POSCAR:
```
Eu3PtN
1.0
4.920 0.000 0.000
0.000 4.920 0.000
0.000 0.000 4.920
Eu N Pt
3 1 1
direct
0.000 0.500 0.000 Eu
0.000 0.000 0.500 Eu
0.500 0.000 0.000 Eu
0.000 0.000 0.000 N
0.500 0.500 0.500 Pt
```

- Formation energy from raw total energies: -0.73 eV per atom
- SG: Pm-3m, No. 221
- Size of the total moment: 20.8 μB per cell
- E_tot: -9.77 eV/atom



(5)
A plane-wave DFT calculation with PBE was carried out for crystalline EuPtN at its relaxed geometry.

Cell and atoms, written as POSCAR:
```
EuPtN
1.0
3.985 0.000 0.000
0.000 3.847 0.000
0.000 -1.923 3.332
Pt N Eu
1 1 1
direct
0.182 0.333 0.667 Pt
0.127 0.000 0.000 N
0.691 0.667 0.333 Eu
```

- Formation energy from raw total energies: -0.17 eV per atom
- SG: P3m1, No. 156
- Size of the total moment: 6.6 μB per cell
- E_tot: -8.38 eV/atom



(6)
A plane-wave DFT calculation with PBE was carried out for crystalline EuPuN at its relaxed geometry.

Cell and atoms, written as POSCAR:
```
EuPuN
1.0
-1.416 -2.625 -1.449
2.976 -1.424 -0.329
-1.518 -0.912 6.931
Eu Pu N
1 1 1
direct
0.035 0.035 0.070 Eu
0.751 0.751 0.503 Pu
0.214 0.214 0.427 N
```

- Formation energy from raw total energies: -0.48 eV per atom
- ΔE to the lowest computed polymorph: 0.190 eV per atom
- SG: I4mm, No. 107
- Size of the total moment: 13.1 μB per cell
- E_tot: -11.46 eV/atom



(7)
A plane-wave DFT calculation with PBE was carried out for crystalline EuPu3N at its relaxed geometry.

Cell and atoms, written as POSCAR:
```
EuPu3N
1.0
4.914 0.000 0.000
0.000 4.914 0.000
0.000 0.000 4.914
Pu N Eu
3 1 1
direct
0.000 0.500 0.000 Pu
0.500 0.000 0.000 Pu
0.000 0.000 0.500 Pu
0.000 0.000 0.000 N
0.500 0.500 0.500 Eu
```

- Formation energy from raw total energies: -0.17 eV per atom
- SG: Pm-3m, No. 221
- Size of the total moment: 9.5 μB per cell
- E_tot: -12.49 eV/atom



(8)
A plane-wave DFT calculation with PBE was carried out for crystalline EuPuN2 at its relaxed geometry.

Cell and atoms, written as POSCAR:
```
EuPuN2
1.0
3.850 0.000 0.000
1.925 3.334 0.000
1.925 1.111 6.127
N Pu Eu
2 1 1
direct
0.899 0.899 0.304 N
0.101 0.101 0.696 N
0.000 0.000 0.000 Pu
0.500 0.500 0.500 Eu
```

- Formation energy from raw total energies: -0.78 eV per atom
- SG: R-3m, No. 166
- Size of the total moment: 10.3 μB per cell
- E_tot: -11.09 eV/atom



(9)
A plane-wave DFT calculation with PBE was carried out for crystalline EuPuN at its relaxed geometry.

Cell and atoms, written as POSCAR:
```
EuPuN
1.0
-2.900 -0.969 -3.098
-3.589 -2.249 1.005
-3.883 1.967 -0.038
Pu N Eu
1 1 1
direct
0.500 0.500 0.500 Pu
0.250 0.250 0.250 N
0.000 0.000 0.000 Eu
```

- Formation energy from raw total energies: -0.14 eV per atom
- ΔE to the lowest computed polymorph: 0.534 eV per atom
- SG: F-43m, No. 216
- Size of the total moment: 13.1 μB per cell
- E_tot: -11.12 eV/atom



(10)
A plane-wave DFT calculation with PBE was carried out for crystalline EuPuN at its relaxed geometry.

Cell and atoms, written as POSCAR:
```
EuPuN
1.0
6.500 0.000 0.000
0.000 3.497 0.000
0.000 -1.749 3.029
Eu N Pu
1 1 1
direct
0.568 0.333 0.667 Eu
0.307 0.667 0.333 N
0.125 0.000 0.000 Pu
```

- Formation energy from raw total energies: -0.67 eV per atom
- ΔE to the lowest computed polymorph: 0.000 eV per atom
- SG: P3m1, No. 156
- Size of the total moment: 1.7 μB per cell
- E_tot: -11.65 eV/atom



(11)
A plane-wave DFT calculation with PBE was carried out for crystalline RbEu2N at its relaxed geometry.

Cell and atoms, written as POSCAR:
```
RbEu2N
1.0
-2.364 2.867 -0.670
-3.365 0.112 1.710
2.593 6.688 8.835
Rb N Eu
1 1 2
direct
0.000 0.000 0.000 Rb
0.500 0.500 0.500 N
0.126 0.126 0.621 Eu
0.874 0.874 0.379 Eu
```

- Formation energy from raw total energies: -0.40 eV per atom
- SG: R-3m, No. 166
- Size of the total moment: 14.5 μB per cell
- E_tot: -7.86 eV/atom



(12)
A plane-wave DFT calculation with PBE was carried out for crystalline RbEuN at its relaxed geometry.

Cell and atoms, written as POSCAR:
```
RbEuN
1.0
-5.387 -3.420 3.934
0.181 -3.008 -2.367
2.212 0.113 3.127
Eu Rb N
1 1 1
direct
0.163 0.000 0.000 Eu
0.559 0.667 0.333 Rb
0.278 0.333 0.667 N
```

- Formation energy from raw total energies: -0.24 eV per atom
- SG: P3m1, No. 156
- Size of the total moment: 6.6 μB per cell
- E_tot: -6.76 eV/atom